Entry 1:
A relaxed structure of BiSbN2. Source: Alexandria via LeMat-Bulk, functional PBE.

Cell: 3.5276 3.5276 20.5098 Å, 90.00 90.00 120.00°
Space group R-3m (No. 166, hexagonal axes)
Asymmetric unit:
Bi: 0.0000 0.0000 0.0000 [3 per cell]
Sb: 0.0000 0.0000 0.5000 [3 per cell]
N: 0.0000 0.0000 0.3947 [6 per cell]

## Properties
The uncorrected energy is -5.3378 eV per atom. The uncorrected formation energy comes out at 0.826 eV/atom. The crystal system is trigonal.

=====

Entry 2:
A relaxed structure of BiSb4N2. Source: Alexandria via LeMat-Bulk, functional PBE.

Cell: 3.318 3.323 16.902 Å, 95.46 90.14 119.55°
Space group P-1 (No. 2)
Asymmetric unit:
Bi: 0.000 0.000 0.000 [1 per cell]
Sb: 0.076 0.136 0.195 [2 per cell]
Sb: 0.194 0.392 0.601 [2 per cell]
N: 0.117 0.226 0.329 [2 per cell]

## Properties
The uncorrected energy is -4.8678 eV per atom. The uncorrected formation energy comes out at 0.421 eV/atom. The crystal system is triclinic.

=====

Entry 3:
A relaxed structure of Bi3SbN. Source: Alexandria via LeMat-Bulk, functional PBE.

Cell: 5.819 5.819 5.819 Å, 90.00 90.00 90.00°
Space group Pm-3m (No. 221)
Asymmetric unit:
Bi: 0.000 0.000 0.500 [3 per cell]
Sb: 0.000 0.000 0.000 [1 per cell]
N: 0.500 0.500 0.500 [1 per cell]

## Properties
The uncorrected energy is -2.8460 eV per atom. The uncorrected formation energy comes out at 1.972 eV/atom. The crystal system is cubic.

=====

Entry 4:
A relaxed structure of Sc4BiSbN. Source: Alexandria via LeMat-Bulk, functional PBE.

Cell: 6.218 15.100 6.222 Å, 90.00 90.00 90.00°
Space group Cmcm (No. 63)
Asymmetric unit:
Sc: 0.000 0.096 0.250 [4 per cell]
Sc: 0.000 0.400 0.250 [4 per cell]
Sc: 0.250 0.250 0.000 [8 per cell]
Bi: 0.000 0.399 0.750 [4 per cell]
Sb: 0.000 0.105 0.750 [4 per cell]
N: 0.000 0.249 0.250 [4 per cell]

## Properties
The uncorrected energy is -6.9917 eV per atom. The uncorrected formation energy comes out at -1.041 eV/atom. The crystal system is orthorhombic.

=====

Entry 5:
A relaxed structure of SnBiSbN2. Source: Alexandria via LeMat-Bulk, functional PBE.

Cell: 4.271 4.271 5.793 Å, 90.00 90.00 90.00°
Space group P4/mmm (No. 123)
Asymmetric unit:
Sn: 0.000 0.000 0.000 [1 per cell]
Bi: 0.500 0.500 0.000 [1 per cell]
Sb: 0.000 0.000 0.500 [1 per cell]
N: 0.000 0.500 0.500 [2 per cell]

## Properties
The uncorrected energy is -4.3911 eV per atom. The uncorrected formation energy comes out at 1.340 eV/atom. The crystal system is tetragonal.

=====

Entry 6:
A relaxed structure of SrBiSb2N. Source: Alexandria via LeMat-Bulk, functional PBE.

Cell: 6.085 6.085 4.299 Å, 90.00 90.00 90.00°
Space group P4/mmm (No. 123)
Asymmetric unit:
Sr: 0.000 0.000 0.000 [1 per cell]
Bi: 0.500 0.500 0.500 [1 per cell]
Sb: 0.000 0.500 0.500 [2 per cell]
N: 0.500 0.500 0.000 [1 per cell]

## Properties
The uncorrected energy is -3.8317 eV per atom. The uncorrected formation energy comes out at 0.595 eV/atom. The crystal system is tetragonal.

=====

Entry 7:
A relaxed structure of Sr6Bi2SbN. Source: Alexandria via LeMat-Bulk, functional PBE.

Cell: 7.831 8.240 13.692 Å, 90.00 124.86 90.00°
Space group P2_1/c (No. 14)
Asymmetric unit:
Sr: 0.130 0.036 0.226 [4 per cell]
Sr: 0.223 0.720 0.052 [4 per cell]
Sr: 0.328 0.175 0.047 [4 per cell]
Bi: 0.269 0.064 0.751 [4 per cell]
Sb: 0.500 0.000 0.500 [2 per cell]
N: 0.000 0.000 0.000 [2 per cell]

## Properties
The uncorrected energy is -3.8574 eV per atom. The uncorrected formation energy comes out at -0.827 eV/atom. The crystal system is monoclinic.

=====

Entry 8:
A relaxed structure of Sr2BiSbN. Source: Alexandria via LeMat-Bulk, functional PBE.

Cell: 5.268 5.268 4.889 Å, 90.00 90.00 90.00°
Space group P4/mmm (No. 123)
Asymmetric unit:
Sr: 0.000 0.500 0.000 [2 per cell]
Bi: 0.000 0.000 0.500 [1 per cell]
Sb: 0.500 0.500 0.500 [1 per cell]
N: 0.000 0.000 0.000 [1 per cell]

## Properties
The uncorrected energy is -4.4800 eV per atom. The uncorrected formation energy comes out at -0.542 eV/atom. The crystal system is tetragonal.

=====

Entry 9:
A relaxed structure of Sr4BiSbN. Source: Alexandria via LeMat-Bulk, functional PBE.

Cell: 7.261 17.229 7.260 Å, 90.00 90.00 90.00°
Space group Cmcm (No. 63)
Asymmetric unit:
Sr: 0.000 0.086 0.250 [4 per cell]
Sr: 0.000 0.410 0.250 [4 per cell]
Sr: 0.250 0.250 0.000 [8 per cell]
Bi: 0.000 0.391 0.750 [4 per cell]
Sb: 0.000 0.112 0.750 [4 per cell]
N: 0.000 0.251 0.250 [4 per cell]

## Properties
The uncorrected energy is -4.1525 eV per atom. The uncorrected formation energy comes out at -0.859 eV/atom. The crystal system is orthorhombic.

=====

Entry 10:
A relaxed structure of Sr2BiSbN. Source: Alexandria via LeMat-Bulk, functional PBE.

Cell: 5.346 5.346 4.670 Å, 90.00 90.00 90.00°
Space group P4/mmm (No. 123)
Asymmetric unit:
Sr: 0.000 0.500 0.000 [2 per cell]
Bi: 0.000 0.000 0.500 [1 per cell]
Sb: 0.500 0.500 0.500 [1 per cell]
N: 0.500 0.500 0.000 [1 per cell]

## Properties
The uncorrected energy is -4.4725 eV per atom. The uncorrected formation energy comes out at -0.534 eV/atom. The crystal system is tetragonal.

=====

Entry 11:
A relaxed structure of BiSb2TeN. Source: Alexandria via LeMat-Bulk, functional PBE.

Cell: 4.897 4.897 4.895 Å, 90.00 90.00 90.00°
Space group P4/mmm (No. 123)
Asymmetric unit:
Bi: 0.000 0.000 0.000 [1 per cell]
Sb: 0.000 0.500 0.500 [2 per cell]
Te: 0.500 0.500 0.000 [1 per cell]
N: 0.500 0.500 0.500 [1 per cell]

## Properties
The uncorrected energy is -4.1622 eV per atom. The uncorrected formation energy comes out at 0.556 eV/atom. The crystal system is tetragonal.

=====

Entry 12:
A relaxed structure of BiSb2TeN. Source: Alexandria via LeMat-Bulk, functional PBE.

Cell: 5.834 5.834 5.895 Å, 90.00 90.00 90.00°
Space group P4/mmm (No. 123)
Asymmetric unit:
Bi: 0.000 0.000 0.000 [1 per cell]
Sb: 0.000 0.500 0.000 [2 per cell]
Te: 0.000 0.000 0.500 [1 per cell]
N: 0.500 0.500 0.500 [1 per cell]

## Properties
The uncorrected energy is -2.5738 eV per atom. The uncorrected formation energy comes out at 2.145 eV/atom. The crystal system is tetragonal.

=====

Entry 13:
A relaxed structure of BiSbTeN2. Source: Alexandria via LeMat-Bulk, functional PBE.

Cell: 4.388 4.388 6.142 Å, 90.00 90.00 90.00°
Space group P4/mmm (No. 123)
Asymmetric unit:
Bi: 0.000 0.000 0.000 [1 per cell]
Sb: 0.500 0.500 0.500 [1 per cell]
Te: 0.000 0.000 0.500 [1 per cell]
N: 0.000 0.500 0.000 [2 per cell]

## Properties
The uncorrected energy is -4.0046 eV per atom. The uncorrected formation energy comes out at 1.555 eV/atom. The crystal system is tetragonal.

=====

Entry 14:
A relaxed structure of BiSbTeN2. Source: Alexandria via LeMat-Bulk, functional PBE.

Cell: 4.278 4.278 5.833 Å, 90.00 90.00 90.00°
Space group P4/mmm (No. 123)
Asymmetric unit:
Bi: 0.000 0.000 0.000 [1 per cell]
Sb: 0.500 0.500 0.500 [1 per cell]
Te: 0.500 0.500 0.000 [1 per cell]
N: 0.000 0.500 0.500 [2 per cell]

## Properties
The uncorrected energy is -4.2976 eV per atom. The uncorrected formation energy comes out at 1.262 eV/atom. The crystal system is tetragonal.

=====

Entry 15:
A relaxed structure of ThBiSb2N. Source: Alexandria via LeMat-Bulk, functional PBE.

Cell: 4.102 4.102 17.195 Å, 90.00 90.00 90.00°
Space group P4/nmm (No. 129, origin choice 2)
Asymmetric unit:
Th: 0.250 0.250 0.067 [2 per cell]
Bi: 0.250 0.250 0.643 [2 per cell]
Sb: 0.250 0.250 0.434 [2 per cell]
Sb: 0.250 0.250 0.813 [2 per cell]
N: 0.250 0.750 0.000 [2 per cell]

## Properties
The uncorrected energy is -6.1910 eV per atom. The uncorrected formation energy comes out at -0.617 eV/atom. The crystal system is tetragonal.

=====

Entry 16:
A relaxed structure of UBiSb2N. Source: Alexandria via LeMat-Bulk, functional PBE.

Cell: 3.920 3.920 16.969 Å, 90.00 90.00 90.00°
Space group P4/nmm (No. 129, origin choice 2)
Asymmetric unit:
U: 0.250 0.250 0.067 [2 per cell]
Bi: 0.250 0.250 0.655 [2 per cell]
Sb: 0.250 0.250 0.441 [2 per cell]
Sb: 0.250 0.250 0.833 [2 per cell]
N: 0.250 0.750 0.000 [2 per cell]

## Properties
The uncorrected energy is -6.8089 eV per atom. The uncorrected formation energy comes out at -0.461 eV/atom. The crystal system is tetragonal.

=====

Entry 17:
A relaxed structure of Sc2BiN. Source: Alexandria via LeMat-Bulk, functional PBE.

Cell: 6.574 6.574 7.739 Å, 90.00 90.00 90.00°
Space group I-42d (No. 122)
Asymmetric unit:
Sc: 0.133 0.750 0.125 [8 per cell]
Bi: 0.000 0.000 0.500 [4 per cell]
N: 0.000 0.000 0.000 [4 per cell]

## Properties
The uncorrected energy is -7.2684 eV per atom. The uncorrected formation energy comes out at -1.051 eV/atom. The crystal system is tetragonal.

=====

Entry 18:
A relaxed structure of ScBi3N. Source: Alexandria via LeMat-Bulk, functional PBE.

Cell: 5.604 5.604 5.604 Å, 90.00 90.00 90.00°
Space group Pm-3m (No. 221)
Asymmetric unit:
Sc: 0.000 0.000 0.000 [1 per cell]
Bi: 0.000 0.000 0.500 [3 per cell]
N: 0.500 0.500 0.500 [1 per cell]

## Properties
The uncorrected energy is -4.1253 eV per atom. The uncorrected formation energy comes out at 1.135 eV/atom. The crystal system is cubic.

=====

Entry 19:
A relaxed structure of Sc2BiN. Source: Alexandria via LeMat-Bulk, functional PBE.

Cell: 6.761 6.761 6.761 Å, 90.00 90.00 90.00°
Space group Fm-3m (No. 225)
Asymmetric unit:
Sc: 0.250 0.250 0.250 [8 per cell]
Bi: 0.000 0.000 0.000 [4 per cell]
N: 0.000 0.000 0.500 [4 per cell]

## Properties
The uncorrected energy is -6.0572 eV per atom. The uncorrected formation energy comes out at 0.160 eV/atom. The crystal system is cubic.

=====

Entry 20:
A relaxed structure of Sc5Bi2N. Source: Alexandria via LeMat-Bulk, functional PBE.

Cell: 4.274 15.477 12.478 Å, 90.00 90.00 90.00°
Space group Cmcm (No. 63)
Asymmetric unit:
Sc: 0.000 0.107 0.126 [8 per cell]
Sc: 0.000 0.266 0.750 [4 per cell]
Sc: 0.000 0.295 0.072 [8 per cell]
Bi: 0.000 0.086 0.619 [8 per cell]
N: 0.000 0.206 0.250 [4 per cell]

## Properties
The uncorrected energy is -6.3850 eV per atom. The uncorrected formation energy comes out at -0.417 eV/atom. The crystal system is orthorhombic.